No. 1
A relaxed TbTmGa3 crystal. Source: the Alexandria database, functional GGA-PBE.

Calculated values
**ΔH_f (0 K)**: -0.64 eV/atom
**Uncorrected energy**: -0.314 Ry per atom
**Crystal system**: orthorhombic

abc: 12.8966 12.8966 4.1558
angles: 90.00 90.00 161.46
Atoms (fractional coordinates):
Tb 0.0731 0.9269 0.7500
Tb 0.9269 0.0731 0.2500
Tm 0.2045 0.7955 0.2500
Tm 0.7955 0.2045 0.7500
Ga 0.3227 0.6773 0.2500
Ga 0.3797 0.6203 0.7500
Ga 0.4758 0.5242 0.7500
Ga 0.5242 0.4758 0.2500
Ga 0.6203 0.3797 0.2500
Ga 0.6773 0.3227 0.7500



No. 2
A relaxed CeCo5Ge3 crystal. Source: the Alexandria database, functional GGA-PBE.

Calculated values
**ΔH_f (0 K)**: -0.32 eV/atom
**Uncorrected energy**: -0.475 Ry per atom
**Crystal system**: orthorhombic

abc: 6.3456 6.3456 11.3810
angles: 90.00 90.00 144.96
Atoms (fractional coordinates):
Ce 0.1840 0.8160 0.7500
Ce 0.8160 0.1840 0.2500
Co 0.0000 0.0000 0.0000
Co 0.0000 0.0000 0.5000
Co 0.1903 0.8097 0.0649
Co 0.1903 0.8097 0.4351
Co 0.4502 0.5498 0.6425
Co 0.4502 0.5498 0.8575
Co 0.5498 0.4502 0.1425
Co 0.5498 0.4502 0.3575
Co 0.8097 0.1903 0.5649
Co 0.8097 0.1903 0.9351
Ge 0.1006 0.8994 0.2500
Ge 0.3773 0.6227 0.0479
Ge 0.3773 0.6227 0.4521
Ge 0.6227 0.3773 0.5479
Ge 0.6227 0.3773 0.9521
Ge 0.8994 0.1006 0.7500



No. 3
A relaxed KBe2Al crystal. Source: the Alexandria database, functional GGA-PBE.

Calculated values
**ΔH_f (0 K)**: 0.16 eV/atom
**Uncorrected energy**: -0.214 Ry per atom
**Crystal system**: triclinic

abc: 4.0685 4.0733 12.5454
angles: 81.88 87.75 60.09
Atoms (fractional coordinates):
K 0.0000 0.0000 0.0000
K 0.4349 0.6643 0.6747
Be 0.0331 0.8801 0.2665
Be 0.3704 0.2115 0.2621
Be 0.3869 0.8096 0.4082
Be 0.7201 0.1366 0.4125
Al 0.0607 0.4540 0.4468
Al 0.6955 0.5631 0.2279



No. 4
A relaxed K3SmBi2Se6 crystal. Source: the Alexandria database, functional GGA-PBE.

Calculated values
**Uncorrected energy**: -0.307 Ry per atom
**Crystal system**: monoclinic
**Raw formation energy**: -1124 meV/atom

abc: 7.4793 7.4793 8.1118
angles: 98.84 98.84 120.00
Atoms (fractional coordinates):
K 0.0000 0.0000 0.0000
K 0.3310 0.6690 0.0000
K 0.6690 0.3310 0.0000
Sm 0.5000 0.5000 0.5000
Bi 0.1664 0.8336 0.5000
Bi 0.8336 0.1664 0.5000
Se 0.0986 0.4300 0.2894
Se 0.2393 0.2393 0.7115
Se 0.4300 0.0986 0.2894
Se 0.5700 0.9014 0.7106
Se 0.7607 0.7607 0.2885
Se 0.9014 0.5700 0.7106



No. 5
A relaxed PmHoEr5 crystal. Source: the Alexandria database, functional GGA-PBE.

Calculated values
**ΔH_f (0 K)**: 1.01 eV/atom
**Energy above the lowest structure with this stoichiometry**: 0.810 eV per atom
**Uncorrected energy**: -0.263 Ry per atom
**Crystal system**: orthorhombic

abc: 7.6952 7.6952 7.6952
angles: 117.60 81.57 133.11
Atoms (fractional coordinates):
Pm 0.0000 0.0000 0.0000
Ho 0.7595 0.2595 0.5000
Er 0.0228 0.2664 0.7564
Er 0.2625 0.5834 0.3209
Er 0.2625 0.9416 0.6791
Er 0.5100 0.2664 0.2436
Er 0.5270 0.5270 0.0000



No. 6
A relaxed InGaSn2Au4 crystal. Source: the Alexandria database, functional GGA-PBE.

Calculated values
**ΔH_f (0 K)**: -0.14 eV/atom
**Uncorrected energy**: -0.257 Ry per atom
**Crystal system**: orthorhombic

abc: 8.0232 8.0232 8.0232
angles: 121.04 118.74 90.20
Atoms (fractional coordinates):
In 0.0000 0.0000 0.0000
In 0.5000 0.0000 0.5000
Ga 0.5000 0.0000 0.0000
Ga 0.5000 0.5000 0.5000
Sn 0.0000 0.0000 0.5000
Sn 0.0000 0.5000 0.0000
Sn 0.0000 0.5000 0.5000
Sn 0.5000 0.5000 0.0000
Au 0.2597 0.2599 0.5002
Au 0.2597 0.7595 0.9998
Au 0.2675 0.2499 0.0176
Au 0.2677 0.7501 0.5176
Au 0.7323 0.2499 0.4824
Au 0.7325 0.7501 0.9824
Au 0.7403 0.2405 0.0002
Au 0.7403 0.7401 0.4998



No. 7
A relaxed LiHo2 crystal. Source: the Alexandria database, functional GGA-PBE.

Calculated values
**ΔH_f (0 K)**: 0.10 eV/atom
**Uncorrected energy**: -0.264 Ry per atom
**Crystal system**: tetragonal

abc: 6.7734 6.7734 6.7734
angles: 149.11 149.11 44.24
Atoms (fractional coordinates):
Li 0.0000 0.0000 0.0000
Ho 0.3451 0.3451 0.0000
Ho 0.6549 0.6549 0.0000